(1)
{
  "formula": "Na4TlCd2Pb2",
  "functional": "PBE",
  "state": "relaxed",
  "total_energy_ev_per_cell": -17.61,
  "crystal_system": "triclinic",
  "lattice": [[6.261, 0.000, 0.000], [-2.670, 6.138, 0.000], [-1.174, -2.730, 6.880]],
  "species": ["Na", "Na", "Na", "Na", "Tl", "Cd", "Cd", "Pb", "Pb"],
  "frac_coords": [[0.139, 0.325, 0.347], [0.348, 0.271, 0.802], [0.652, 0.729, 0.198], [0.861, 0.675, 0.653], [0.000, 0.500, 0.000], [0.221, 0.871, 0.408], [0.779, 0.129, 0.592], [0.459, 0.815, 0.794], [0.541, 0.185, 0.206]]
}

=====

(2)
{
  "formula": "NpMnH8Rh2",
  "functional": "PBE",
  "state": "relaxed",
  "total_energy_ev_per_cell": -63.88,
  "crystal_system": "trigonal",
  "lattice": [[2.310, 1.334, 5.416], [-2.310, 1.334, 5.416], [0.000, -2.667, 5.416]],
  "species": ["Np", "Mn", "H", "H", "H", "H", "H", "H", "H", "H", "Rh", "Rh"],
  "frac_coords": [[0.000, 0.000, 0.000], [0.500, 0.500, 0.500], [0.148, 0.793, 0.394], [0.207, 0.606, 0.852], [0.316, 0.316, 0.316], [0.394, 0.148, 0.793], [0.606, 0.852, 0.207], [0.684, 0.684, 0.684], [0.793, 0.394, 0.148], [0.852, 0.207, 0.606], [0.212, 0.212, 0.212], [0.788, 0.788, 0.788]]
}

=====

(3)
{
  "formula": "Ac3Pd2N",
  "functional": "PBE",
  "state": "relaxed",
  "formation_energy_uncorrected_kj_per_mol_fu": -485,
  "e_above_lowest_polymorph_kj_per_mol_atoms": 0.0,
  "crystal_system": "orthorhombic",
  "lattice": [[8.871, 0.000, 0.000], [0.000, 4.298, 0.000], [0.000, 0.000, 17.885]],
  "species": ["Ac", "Ac", "Ac", "Ac", "Ac", "Ac", "Ac", "Ac", "Ac", "Ac", "Ac", "Ac", "Pd", "Pd", "Pd", "Pd", "Pd", "Pd", "Pd", "Pd", "N", "N", "N", "N"],
  "frac_coords": [[0.010, 0.250, 0.102], [0.137, 0.750, 0.429], [0.181, 0.250, 0.735], [0.319, 0.750, 0.235], [0.363, 0.250, 0.929], [0.490, 0.750, 0.602], [0.510, 0.250, 0.398], [0.637, 0.750, 0.071], [0.681, 0.250, 0.765], [0.819, 0.750, 0.265], [0.863, 0.250, 0.571], [0.990, 0.750, 0.898], [0.073, 0.250, 0.288], [0.232, 0.250, 0.542], [0.268, 0.750, 0.042], [0.427, 0.750, 0.788], [0.573, 0.250, 0.212], [0.732, 0.250, 0.958], [0.768, 0.750, 0.458], [0.927, 0.750, 0.712], [0.119, 0.250, 0.867], [0.381, 0.750, 0.367], [0.619, 0.250, 0.633], [0.881, 0.750, 0.133]]
}

=====

(4)
{
  "formula": "CsCaI2O",
  "functional": "PBE",
  "state": "relaxed",
  "formation_energy_uncorrected_kj_per_mol_fu": -219,
  "e_above_lowest_polymorph_kj_per_mol_atoms": 92.8,
  "crystal_system": "tetragonal",
  "lattice": [[6.814, 0.000, 0.000], [0.000, 6.814, 0.000], [0.000, 0.000, 4.413]],
  "species": ["Cs", "Ca", "I", "I", "O"],
  "frac_coords": [[0.000, 0.000, 0.000], [0.500, 0.500, 0.500], [0.000, 0.500, 0.000], [0.500, 0.000, 0.000], [0.000, 0.000, 0.500]]
}

=====

(5)
{
  "formula": "Y2BeCrAs",
  "functional": "PBE",
  "state": "relaxed",
  "total_energy_ev_per_cell": -30.11,
  "crystal_system": "tetragonal",
  "lattice": [[5.485, 0.000, 0.000], [0.000, 5.485, 0.000], [0.000, 0.000, 4.096]],
  "species": ["Y", "Y", "Be", "Cr", "As"],
  "frac_coords": [[0.000, 0.500, 0.000], [0.500, 0.000, 0.000], [0.000, 0.000, 0.500], [0.500, 0.500, 0.500], [0.000, 0.000, 0.000]]
}

=====

(6)
{
  "formula": "Ac2HgPbSe5",
  "functional": "PBE",
  "state": "relaxed",
  "formation_energy_uncorrected_kj_per_mol_fu": -1113,
  "crystal_system": "orthorhombic",
  "lattice": [[2.192, -9.239, 0.000], [2.192, 9.239, 0.000], [0.000, 0.000, 13.028]],
  "species": ["Ac", "Ac", "Ac", "Ac", "Hg", "Hg", "Pb", "Pb", "Se", "Se", "Se", "Se", "Se", "Se", "Se", "Se", "Se", "Se"],
  "frac_coords": [[0.121, 0.879, 0.500], [0.132, 0.868, 0.116], [0.868, 0.132, 0.616], [0.879, 0.121, 0.000], [0.469, 0.531, 0.281], [0.531, 0.469, 0.781], [0.199, 0.801, 0.815], [0.801, 0.199, 0.315], [0.039, 0.961, 0.894], [0.293, 0.707, 0.479], [0.307, 0.693, 0.147], [0.359, 0.641, 0.811], [0.498, 0.502, 0.586], [0.502, 0.498, 0.086], [0.641, 0.359, 0.311], [0.693, 0.307, 0.647], [0.707, 0.293, 0.979], [0.961, 0.039, 0.394]]
}

=====

(7)
{
  "formula": "Ga3Pb2Au17",
  "functional": "PBE",
  "state": "relaxed",
  "total_energy_ev_per_cell": -70.76,
  "crystal_system": "trigonal",
  "lattice": [[5.162, 2.980, 4.999], [-5.162, 2.980, 4.999], [0.000, -5.961, 4.999]],
  "species": ["Ga", "Ga", "Ga", "Pb", "Pb", "Au", "Au", "Au", "Au", "Au", "Au", "Au", "Au", "Au", "Au", "Au", "Au", "Au", "Au", "Au", "Au", "Au"],
  "frac_coords": [[0.000, 0.500, 0.500], [0.500, 0.000, 0.500], [0.500, 0.500, 0.000], [0.390, 0.390, 0.390], [0.610, 0.610, 0.610], [0.000, 0.000, 0.500], [0.000, 0.263, 0.737], [0.000, 0.500, 0.000], [0.000, 0.737, 0.263], [0.106, 0.106, 0.106], [0.170, 0.670, 0.670], [0.263, 0.000, 0.737], [0.263, 0.737, 0.000], [0.330, 0.330, 0.830], [0.330, 0.830, 0.330], [0.500, 0.000, 0.000], [0.670, 0.170, 0.670], [0.670, 0.670, 0.170], [0.737, 0.000, 0.263], [0.737, 0.263, 0.000], [0.830, 0.330, 0.330], [0.894, 0.894, 0.894]]
}

=====

(8)
{
  "formula": "CuAg2MoBr",
  "functional": "PBE",
  "state": "relaxed",
  "formation_energy_uncorrected_kj_per_mol_fu": 698,
  "crystal_system": "tetragonal",
  "lattice": [[5.269, 0.000, 0.000], [0.000, 5.269, 0.000], [0.000, 0.000, 4.543]],
  "species": ["Cu", "Ag", "Ag", "Mo", "Br"],
  "frac_coords": [[0.000, 0.000, 0.000], [0.000, 0.500, 0.500], [0.500, 0.000, 0.500], [0.500, 0.500, 0.000], [0.000, 0.000, 0.500]]
}